Below is a geometry-optimized NdCd8Pt4 structure, with properties calculated at the PBE-GGA level.

Values from the calculation:
The calculation puts the formation energy at -8.45 kcal/mol of atoms. The value obtained for the energy is -82.03 eV for the cell shown.

Geometry as CIF:
```
data_NdCd8Pt4
_chemical_formula_sum 'Nd2 Cd16 Pt8'
_space_group_name_H-M_alt 'I 4/m m m'
_space_group_IT_number 139
_space_group_name_Hall '-I 4 2'
_cell_length_a 9.619
_cell_length_b 9.619
_cell_length_c 5.717
_cell_angle_alpha 90.00
_cell_angle_beta 90.00
_cell_angle_gamma 90.00
loop_
_atom_site_label
_atom_site_fract_x
_atom_site_fract_y
_atom_site_fract_z
Nd1 0.000 0.000 0.000
Cd1 0.000 0.218 0.500
Cd2 0.000 0.340 0.000
Pt1 0.250 0.250 0.250
```